VASP calculation (PBE) on a geometry-optimized V2Co4Si structure.

abc: 4.0671 4.0671 11.8559
angles: 90.00 90.00 90.00
With the nearest neighbours (Å) after each atom.
Space group I4/mmm (No. 139)
Asymmetric unit:
V 0.0000 0.0000 0.1358 [4 per cell]  1 Co 2.08
Co 0.0000 0.0000 0.3109 [4 per cell]  1 V 2.08, 1 Si 2.24
Co 0.0000 0.5000 0.0000 [4 per cell]  2 Si 2.03
Si 0.0000 0.0000 0.5000 [2 per cell]  6 Co 2.03-2.24

Computed properties:
The calculation puts the raw total energy at -47.34 eV/f.u.


VASP calculation (PBE) on a geometry-optimized VCo4Si2 structure.

abc: 4.1779 4.1779 11.5670
angles: 90.00 90.00 90.00
With the nearest neighbours (Å) after each atom.
Space group I4/mmm (No. 139)
Asymmetric unit:
V 0.0000 0.0000 0.0000 [2 per cell]  6 Co 2.09-2.22
Co 0.0000 0.0000 0.1919 [4 per cell]  1 V 2.22, 1 Si 2.26
Co 0.0000 0.5000 0.0000 [4 per cell]  2 V 2.09
Si 0.0000 0.0000 0.3870 [4 per cell]  5 Co 2.26-2.46

Computed properties:
The calculation puts the raw total energy at -43.36 eV/f.u.


VASP calculation (PBE) on a geometry-optimized V12CoSi6 structure.

abc: 8.7796 8.7796 11.0827
angles: 90.00 90.00 120.00
With the nearest neighbours (Å) after each atom.
Space group R-3 (No. 148, hexagonal axes)
Asymmetric unit:
V 0.0573 0.1916 0.3059 [18 per cell]  3 V 2.34-2.59, 3 Si 2.57-2.61, 1 Co 2.62
V 0.0689 0.8418 0.9163 [18 per cell]  4 Si 2.54-2.62, 5 V 2.56-2.82
Co 0.0000 0.0000 0.5000 [3 per cell]  6 Si 2.40, 6 V 2.62
Si 0.0348 0.4463 0.2101 [18 per cell]  1 Co 2.40, 7 V 2.54-2.62, 2 Si 2.54

Computed properties:
The calculation puts the raw total energy at -156.04 eV/f.u.


VASP calculation (PBE) on a geometry-optimized VCoSi structure.

abc: 3.9498 3.9498 2.6454
angles: 90.00 90.00 120.00
With the nearest neighbours (Å) after each atom.
Space group P-6m2 (No. 187)
Asymmetric unit:
V 0.0000 0.0000 0.0000 [1 per cell]  6 Si 2.64, 6 Co 2.64, 2 V 2.65
Co 0.3333 0.6667 0.5000 [1 per cell]  3 Si 2.28
Si 0.6667 0.3333 0.5000 [1 per cell]  3 Co 2.28

Computed properties:
The calculation puts the raw total energy at -23.12 eV/f.u.


VASP calculation (PBE) on a geometry-optimized VCo2Si structure.

abc: 2.6321 2.6321 6.4431
angles: 90.00 90.00 90.00
With the nearest neighbours (Å) after each atom.
Space group P4/mmm (No. 123)
Asymmetric unit:
V 0.0000 0.0000 0.0000 [1 per cell]  8 Co 2.60, 4 V 2.63
Co 0.5000 0.5000 0.2812 [2 per cell]  4 Si 2.33, 4 V 2.60
Si 0.0000 0.0000 0.5000 [1 per cell]  8 Co 2.33

Computed properties:
The calculation puts the raw total energy at -30.41 eV/f.u.


VASP calculation (PBE) on a geometry-optimized VCoSi structure.

abc: 5.9865 3.5435 10.2461
angles: 90.00 90.37 90.00
With the nearest neighbours (Å) after each atom.
Space group P2_1/m (No. 11)
Asymmetric unit:
V 0.0167 0.2500 0.2069 [2 per cell]  5 Si 2.49-2.54, 5 Co 2.64-2.73
V 0.3437 0.7500 0.5774 [2 per cell]  5 Si 2.51-2.54, 3 Co 2.68-2.72
V 0.4719 0.7500 0.8817 [2 per cell]  5 Si 2.51-2.52, 5 Co 2.73-2.81
Co 0.0091 0.2500 0.5906 [2 per cell]  4 Si 2.26-2.30, 1 Co 2.51
Co 0.1433 0.2500 0.9596 [2 per cell]  4 Si 2.25-2.31
Co 0.3605 0.7500 0.2949 [2 per cell]  4 Si 2.25-2.28, 1 Co 2.51
Si 0.2360 0.7500 0.0838 [2 per cell]  4 Co 2.25-2.31, 3 V 2.51
Si 0.2365 0.2500 0.4135 [2 per cell]  5 Co 2.28-2.30, 4 V 2.49-2.52
Si 0.2722 0.2500 0.7497 [2 per cell]  3 Co 2.25-2.29, 2 V 2.52

Computed properties:
The calculation puts the raw total energy at -23.38 eV/f.u.


VASP calculation (PBE) on a geometry-optimized V8CoSi2 structure.

abc: 12.3187 4.1759 6.4429
angles: 90.00 120.43 90.00
With the nearest neighbours (Å) after each atom.
Space group C2/m (No. 12)
Asymmetric unit:
V 0.0327 0.0000 0.2221 [4 per cell]  2 Si 2.48-2.78, 7 V 2.49-2.61
V 0.0956 0.5000 0.9389 [4 per cell]  1 Co 2.45, 3 V 2.50-2.55, 3 Si 2.53-2.70
V 0.1401 0.0000 0.6848 [4 per cell]  3 V 2.49-2.58, 2 Co 2.58, 3 Si 2.60-2.70
V 0.1790 0.5000 0.3908 [4 per cell]  6 V 2.51-2.63, 3 Si 2.52-2.74, 1 Co 2.63
Co 0.0000 0.5000 0.5000 [2 per cell]  8 V 2.45-2.63
Si 0.2146 0.0000 0.1569 [4 per cell]  11 V 2.48-2.78

Computed properties:
The calculation puts the raw total energy at -93.77 eV/f.u.


VASP calculation (PBE) on a geometry-optimized VCo4Si structure.

abc: 6.5277 3.7484 6.5500
angles: 90.00 109.43 90.00
With the nearest neighbours (Å) after each atom.
Space group C2/m (No. 12)
Asymmetric unit:
V 0.0000 0.0000 0.0000 [2 per cell]  8 Co 2.32-2.34
Co 0.1227 0.5000 0.8666 [4 per cell]  1 Si 2.26, 3 V 2.32
Co 0.1268 0.0000 0.3793 [4 per cell]  3 Si 2.29-2.30, 1 V 2.34
Si 0.0000 0.5000 0.5000 [2 per cell]  8 Co 2.26-2.30

Computed properties:
The calculation puts the raw total energy at -42.59 eV/f.u.